# Li7MnO3F3

A relaxed structure of Li7MnO3F3 (PBE+U, Alexandria).

Properties
DFT total energy ... -5.1137 eV/atom
Energy above the lowest structure with this stoichiometry ... 0.053 eV/atom

Lattice parameters (Å, degrees): 5.571 5.505 9.994 85.49 106.96 102.26
Fractional positions:
F 0.525 0.576 0.842
F 0.399 0.144 0.654
Li 0.190 0.509 0.890
Li 0.700 0.321 0.785
O 0.999 0.260 0.748
O 0.156 0.642 0.510
Li 0.565 0.494 0.225
F 0.079 0.785 0.935
Li 0.761 0.886 0.822
F 0.659 0.124 0.947
F 0.753 0.751 0.631
Li 0.770 0.151 0.303
Li 0.628 0.433 0.025
Li 0.173 0.639 0.118
Mn 0.261 0.462 0.370
F 0.036 0.023 0.274
Li 0.963 0.207 0.098
Li 0.902 0.721 0.341
O 0.563 0.276 0.398
Li 0.260 0.109 0.921
Li 0.275 0.446 0.673
Li 0.837 0.455 0.562
O 0.899 0.470 0.203
O 0.493 0.785 0.289
Mn 0.458 0.930 0.487
O 0.299 0.333 0.072
Li 0.058 0.991 0.655
Li 0.340 0.074 0.222